Compound: MnNbTcMo2
Source: the Alexandria database
Functional: GGA-PBE
Structure: optimized geometry

a b c (Å): 4.3885 4.3885 4.5426
angles (deg): 90.00 90.00 90.00
Closest atoms and distances in Å follow each position.
Fractional positions:
Mn  0.0000  0.0000  0.0000  4 Mo 2.19, 2 Nb 2.27
Nb  0.0000  0.0000  0.5000  2 Mn 2.27
Tc  0.5000  0.5000  0.5000  4 Nb 3.10, 8 Mo 3.16
Mo  0.0000  0.5000  0.0000  2 Mn 2.19
Mo  0.5000  0.0000  0.0000  2 Mn 2.19

Output
Theoretical density = 8.31 g cm⁻³
Total DFT energy (no corrections) = -45.69 eV for the cell shown
ΔH_f (0 K) = 1.1148 eV/atom